Li2PmTl PBE-GGA optimized geometry; energy relative to the elements = -0.082 eV/atom; raw total energy = -11.3 eV/cell
1.0
4.671 0.000 0.000
0.000 4.671 0.000
0.000 0.000 4.512
Li Pm Tl
2 1 1
Direct
0.000 0.500 0.000
0.500 0.000 0.000
0.000 0.000 0.500
0.500 0.500 0.500